No. 1
Computed, not measured: a geometry-optimized Ti2TlMoH structure at the GGA-PBE level of DFT.

Values from the calculation:
energy: -6.54 eV per atom
M_tot: 0.00 μB/atom

Cell: 4.3672 4.3672 3.7667 Å, 90.00 90.00 90.00°
Atoms (fractional coordinates):
Ti 0.0000 0.5000 0.0000
Ti 0.5000 0.0000 0.0000
Tl 0.0000 0.0000 0.5000
Mo 0.5000 0.5000 0.5000
H 0.5000 0.5000 0.0000

=====

No. 2
Computed, not measured: a geometry-optimized YTi2MoH structure at the GGA-PBE level of DFT.

Values from the calculation:
energy: -7.12 eV per atom
M_tot: 0.00 μB/atom

Cell: 4.6353 4.6353 3.6817 Å, 90.00 90.00 90.00°
Atoms (fractional coordinates):
Y 0.0000 0.0000 0.0000
Ti 0.0000 0.5000 0.5000
Ti 0.5000 0.0000 0.5000
Mo 0.5000 0.5000 0.0000
H 0.5000 0.5000 0.5000

=====

No. 3
Computed, not measured: a geometry-optimized TiZnMo2H structure at the GGA-PBE level of DFT.

Values from the calculation:
energy: -6.89 eV per atom
M_tot: 0.00 μB/atom

Cell: 3.9175 3.9175 4.1734 Å, 90.00 90.00 90.00°
Atoms (fractional coordinates):
Ti 0.0000 0.0000 0.0000
Zn 0.5000 0.5000 0.0000
Mo 0.0000 0.5000 0.5000
Mo 0.5000 0.0000 0.5000
H 0.0000 0.0000 0.5000

=====

No. 4
Computed, not measured: a geometry-optimized Zr2TiMoH structure at the GGA-PBE level of DFT.

Values from the calculation:
energy: -7.90 eV per atom
M_tot: 0.00 μB/atom

Cell: 4.6628 4.6628 3.6464 Å, 90.00 90.00 90.00°
Atoms (fractional coordinates):
Zr 0.0000 0.5000 0.0000
Zr 0.5000 0.0000 0.0000
Ti 0.0000 0.0000 0.5000
Mo 0.5000 0.5000 0.5000
H 0.0000 0.0000 0.0000

=====

No. 5
Computed, not measured: a geometry-optimized TlMo3H structure at the GGA-PBE level of DFT.

Values from the calculation:
relative energy among the computed polymorphs: 0.0 meV per atom
energy: -7.20 eV per atom
M_tot: 0.00 μB/atom

Cell: 4.1296 4.1296 4.1296 Å, 90.00 90.00 90.00°
Atoms (fractional coordinates):
Tl 0.0000 0.0000 0.0000
Mo 0.0000 0.5000 0.5000
Mo 0.5000 0.0000 0.5000
Mo 0.5000 0.5000 0.0000
H 0.5000 0.5000 0.5000

=====

No. 6
Computed, not measured: a geometry-optimized TlMoH3 structure at the GGA-PBE level of DFT.

Values from the calculation:
relative energy among the computed polymorphs: 0.0 meV per atom
energy: -4.22 eV per atom
M_tot: 0.00 μB/atom

Cell: 3.7123 3.7123 3.7123 Å, 90.00 90.00 90.00°
Atoms (fractional coordinates):
Tl 0.0000 0.0000 0.0000
Mo 0.5000 0.5000 0.5000
H 0.0000 0.5000 0.5000
H 0.5000 0.0000 0.5000
H 0.5000 0.5000 0.0000

=====

No. 7
Computed, not measured: a geometry-optimized TlMo3H structure at the GGA-PBE level of DFT.

Values from the calculation:
relative energy among the computed polymorphs: 2947.6 meV per atom
energy: -4.25 eV per atom
M_tot: 0.00 μB/atom

Cell: 5.0369 5.0369 5.0369 Å, 90.00 90.00 90.00°
Atoms (fractional coordinates):
Tl 0.0000 0.0000 0.0000
Mo 0.0000 0.0000 0.5000
Mo 0.0000 0.5000 0.0000
Mo 0.5000 0.0000 0.0000
H 0.5000 0.5000 0.5000

=====

No. 8
Computed, not measured: a geometry-optimized TlMoH3 structure at the GGA-PBE level of DFT.

Values from the calculation:
relative energy among the computed polymorphs: 1070.0 meV per atom
energy: -3.15 eV per atom
M_tot: 0.07 μB/atom

Cell: 3.8028 3.8028 3.8028 Å, 90.00 90.00 90.00°
Atoms (fractional coordinates):
Tl 0.0000 0.0000 0.0000
Mo 0.5000 0.5000 0.5000
H 0.0000 0.0000 0.5000
H 0.0000 0.5000 0.0000
H 0.5000 0.0000 0.0000

=====

No. 9
Computed, not measured: a geometry-optimized TlMo2H structure at the GGA-PBE level of DFT.

Values from the calculation:
relative energy among the computed polymorphs: 0.0 meV per atom
energy: -6.14 eV per atom
M_tot: 0.00 μB/atom

Cell: 5.1605 5.1605 9.6685 Å, 90.00 90.00 90.00°
Atoms (fractional coordinates):
Tl 0.0000 0.2500 0.3750
Tl 0.0000 0.7500 0.6250
Tl 0.5000 0.2500 0.1250
Tl 0.5000 0.7500 0.8750
Mo 0.0000 0.0000 0.0000
Mo 0.0000 0.5000 0.0000
Mo 0.2500 0.2500 0.7500
Mo 0.2500 0.7500 0.2500
Mo 0.5000 0.0000 0.5000
Mo 0.5000 0.5000 0.5000
Mo 0.7500 0.2500 0.7500
Mo 0.7500 0.7500 0.2500
H 0.0000 0.2500 0.8750
H 0.0000 0.7500 0.1250
H 0.5000 0.2500 0.6250
H 0.5000 0.7500 0.3750

=====

No. 10
Computed, not measured: a geometry-optimized TlMo2H structure at the GGA-PBE level of DFT.

Values from the calculation:
relative energy among the computed polymorphs: 698.6 meV per atom
energy: -5.45 eV per atom
M_tot: 0.31 μB/atom

Cell: 6.3081 6.3081 6.3081 Å, 90.00 90.00 90.00°
Atoms (fractional coordinates):
Tl 0.0000 0.0000 0.0000
Tl 0.0000 0.5000 0.5000
Tl 0.5000 0.0000 0.5000
Tl 0.5000 0.5000 0.0000
Mo 0.2500 0.2500 0.2500
Mo 0.2500 0.2500 0.7500
Mo 0.2500 0.7500 0.2500
Mo 0.2500 0.7500 0.7500
Mo 0.7500 0.2500 0.2500
Mo 0.7500 0.2500 0.7500
Mo 0.7500 0.7500 0.2500
Mo 0.7500 0.7500 0.7500
H 0.0000 0.0000 0.5000
H 0.0000 0.5000 0.0000
H 0.5000 0.0000 0.0000
H 0.5000 0.5000 0.5000

=====

No. 11
Computed, not measured: a geometry-optimized Tl3MoH structure at the GGA-PBE level of DFT.

Values from the calculation:
relative energy among the computed polymorphs: 0.0 meV per atom
energy: -3.39 eV per atom
M_tot: 0.44 μB/atom

Cell: 4.6664 4.6664 4.6664 Å, 90.00 90.00 90.00°
Atoms (fractional coordinates):
Tl 0.0000 0.0000 0.5000
Tl 0.0000 0.5000 0.0000
Tl 0.5000 0.0000 0.0000
Mo 0.5000 0.5000 0.5000
H 0.0000 0.0000 0.0000

=====

No. 12
Computed, not measured: a geometry-optimized Tl3MoH structure at the GGA-PBE level of DFT.

Values from the calculation:
relative energy among the computed polymorphs: 133.2 meV per atom
energy: -3.25 eV per atom
M_tot: 0.34 μB/atom

Cell: 5.4261 5.4261 5.4261 Å, 90.00 90.00 90.00°
Atoms (fractional coordinates):
Tl 0.0000 0.0000 0.5000
Tl 0.0000 0.5000 0.0000
Tl 0.5000 0.0000 0.0000
Mo 0.0000 0.0000 0.0000
H 0.5000 0.5000 0.5000

=====

Which of these has the highest energy? number 8

=====

Look up the energy of the twelfth one. -3.25 eV per atom